Record 1
Entry from Alexandria: a PBEsol-optimized structure of CdSbW (SCAN).

Results
DOS at the Fermi energy in states/eV/f.u.: 1.03
Formation energy without anion corrections in eV per atom: 0.81
Calculated density in Mg/m³: 11.89
Space group: P-6m2
Distance to the lowest polymorph of the same formula in meV/atom: 117

Unit cell a=2.842 b=4.869 c=4.869 alpha=120.00 beta=90.00 gamma=90.00
Fractional positions:
Sb: 0.500 0.333 0.667
W: 0.500 0.667 0.333
Cd: 0.000 0.000 0.000


Record 2
Entry from Alexandria: a PBEsol-optimized structure of CaTe2Ru (SCAN).

Results
DOS at the Fermi energy in states/eV/f.u.: 2.39
Formation energy without anion corrections in eV per atom: -0.42
Calculated density in Mg/m³: 6.77
Space group: Immm
Distance to the lowest polymorph of the same formula in meV/atom: 0

Unit cell a=4.038 b=5.412 c=5.412 alpha=66.66 beta=68.09 gamma=68.09
Fractional positions:
Te: 0.297 0.703 0.703
Te: 0.703 0.297 0.297
Ru: 0.000 0.500 0.500
Ca: 0.500 0.000 0.000